Record 1
VASP calculation (GGA-PBE) on TlTc2Se after structural relaxation.

Crystal system = orthorhombic
Formation energy from raw total energies = 0.55 eV per atom
ΔE to the lowest computed polymorph = 33.08 kJ per mole of atoms

Cell lengths 3.195, 4.081, 10.974 Å; angles 90.00, 90.00, 90.00 degrees
Space group Imm2 (No. 44)
Symmetry-distinct sites (fractional):
Tl  0.000  0.000  0.000 x2
Tc  0.000  0.000  0.417 x2
Tc  0.000  0.500  0.196 x2
Se  0.000  0.500  0.747 x2


Record 2
VASP calculation (GGA-PBE) on SnPH6CBr3 after structural relaxation.

Crystal system = triclinic
ΔE to the lowest computed polymorph = 0.26 kJ per mole of atoms

Cell lengths 6.152, 8.714, 8.878 Å; angles 89.20, 89.64, 89.13 degrees
Space group P1 (No. 1)
Symmetry-distinct sites (fractional):
Sn  0.000  0.000  0.000 x1
Sn  0.008  0.506  0.495 x1
P  0.482  0.411  0.970 x1
P  0.488  0.007  0.586 x1
H  0.292  0.370  0.051 x1
H  0.296  0.088  0.627 x1
H  0.356  0.908  0.355 x1
H  0.363  0.661  0.894 x1
H  0.471  0.348  0.825 x1
H  0.492  0.867  0.666 x1
H  0.494  0.086  0.328 x1
H  0.513  0.664  0.067 x1
H  0.649  0.913  0.359 x1
H  0.655  0.642  0.891 x1
H  0.663  0.345  0.046 x1
H  0.666  0.095  0.633 x1
C  0.498  0.975  0.387 x1
C  0.506  0.615  0.954 x1
Br  0.000  0.757  0.683 x1
Br  0.011  0.758  0.199 x1
Br  0.451  0.472  0.491 x1
Br  0.453  0.027  0.972 x1
Br  0.974  0.289  0.730 x1
Br  0.980  0.225  0.214 x1


Record 3
VASP calculation (GGA-PBE) on RbTlAu2 after structural relaxation.

E_form = -12.9 kJ/mol of atoms
Crystal system = trigonal
ΔE to the lowest computed polymorph = 5.87 kJ per mole of atoms

Cell lengths 4.9809, 4.9809, 18.0928 Å; angles 90.00, 90.00, 120.00 degrees
Space group R-3m (No. 166, hexagonal axes)
Symmetry-distinct sites (fractional):
Rb  0.0000  0.0000  0.0000 x3
Tl  0.0000  0.0000  0.5000 x3
Au  0.0000  0.0000  0.1980 x6


Record 4
VASP calculation (GGA-PBE) on NaTl12Te7 after structural relaxation.

Crystal system = trigonal
Formation energy from raw total energies = -0.27 eV per atom

Cell lengths 14.6517, 14.6517, 12.4971 Å; angles 90.00, 90.00, 120.00 degrees
Space group R-3 (No. 148, hexagonal axes)
Symmetry-distinct sites (fractional):
Na  0.0000  0.0000  0.0000 x3
Tl  0.0165  0.1811  0.6558 x18
Tl  0.0317  0.2504  0.9215 x18
Te  0.0000  0.0000  0.5000 x3
Te  0.0287  0.1974  0.1757 x18


Record 5
VASP calculation (GGA-PBE) on CrSbS2 after structural relaxation.

Crystal system = monoclinic
Formation energy from raw total energies = -0.32 eV per atom

Cell lengths 13.409, 3.228, 8.376 Å; angles 90.00, 99.12, 90.00 degrees
Space group Cm (No. 8)
Symmetry-distinct sites (fractional):
Cr  0.000  0.000  0.000 x2
Cr  0.054  0.500  0.234 x2
Sb  0.213  0.000  0.382 x2
Sb  0.452  0.500  0.682 x2
S  0.101  0.500  0.518 x2
S  0.118  0.500  0.000 x2
S  0.371  0.000  0.876 x2
S  0.436  0.500  0.233 x2


Record 6
VASP calculation (GGA-PBE) on Ac6PdRh2 after structural relaxation.

E_form = -51.8 kJ/mol of atoms
Crystal system = trigonal
ΔE to the lowest computed polymorph = 0.00 kJ per mole of atoms

Cell lengths 7.5557, 7.5557, 6.9738 Å; angles 90.00, 90.00, 120.00 degrees
Space group P-31m (No. 162)
Symmetry-distinct sites (fractional):
Ac  0.0000  0.3412  0.2338 x6
Pd  0.0000  0.0000  0.0000 x1
Rh  0.3333  0.6667  0.0000 x2


Record 7
VASP calculation (GGA-PBE) on NbCdNO2 after structural relaxation.

Crystal system = tetragonal
Formation energy from raw total energies = 0.79 eV per atom

Cell lengths 4.010, 4.010, 4.175 Å; angles 90.00, 90.00, 90.00 degrees
Space group P4/mmm (No. 123)
Symmetry-distinct sites (fractional):
Nb  0.000  0.000  0.000 x1
Cd  0.500  0.500  0.500 x1
N  0.500  0.500  0.000 x1
O  0.000  0.500  0.500 x2


Record 8
VASP calculation (GGA-PBE) on Tb2DyY2Ho after structural relaxation.

E_form = 27.8 kJ/mol of atoms
Crystal system = orthorhombic

Cell lengths 6.617, 17.620, 3.368 Å; angles 90.00, 90.00, 90.00 degrees
Space group Pnnm (No. 58)
Symmetry-distinct sites (fractional):
Tb  0.238  0.178  0.000 x4
Dy  0.000  0.500  0.000 x2
Y  0.234  0.350  0.500 x4
Ho  0.000  0.000  0.000 x2


| no. | energy (eV/atom) |
| --- | --- |
| 1 | -6.10 |
| 2 | -4.03 |
| 3 | -2.61 |
| 4 | -2.86 |
| 5 | -5.82 |
| 6 | -5.49 |
| 7 | -5.06 |
| 8 | -4.94 |